## ReHAu2F (meta-GGA SCAN)

Data for ReHAu2F at its PBEsol-relaxed geometry.

```
ReHAu2F
1.0
4.720 0.000 0.000
0.000 4.720 0.000
0.000 0.000 3.848
Re H Au F
1 1 2 1
direct
0.000 0.000 0.000
0.500 0.500 0.000
0.000 0.500 0.500
0.500 0.000 0.500
0.000 0.000 0.500
```

## Properties
Raw total energy = -208.74 eV/cell

---

## HfAuF2 (meta-GGA SCAN)

Data for HfAuF2 at its PBEsol-relaxed geometry.

```
HfAuF2
1.0
4.201 0.000 0.000
0.000 4.201 0.000
0.000 0.000 14.174
Hf Au F
4 4 8
direct
0.000 0.000 0.000
0.000 0.500 0.250
0.500 0.000 0.750
0.500 0.500 0.500
0.000 0.000 0.500
0.000 0.500 0.750
0.500 0.000 0.250
0.500 0.500 0.000
0.081 0.250 0.125
0.250 0.581 0.375
0.250 0.919 0.875
0.419 0.250 0.625
0.581 0.750 0.625
0.750 0.081 0.875
0.750 0.419 0.375
0.919 0.750 0.125
```

## Properties
Energy relative to the elements, uncorrected = -2.01 eV/atom

---

## HfAu2F (meta-GGA SCAN)

Data for HfAu2F at its PBEsol-relaxed geometry.

```
HfAu2F
1.0
6.423 0.000 0.000
0.000 6.423 0.000
0.000 0.000 6.423
Hf Au F
4 8 4
direct
0.000 0.000 0.000
0.000 0.500 0.500
0.500 0.000 0.500
0.500 0.500 0.000
0.250 0.250 0.250
0.250 0.250 0.750
0.250 0.750 0.250
0.250 0.750 0.750
0.750 0.250 0.250
0.750 0.250 0.750
0.750 0.750 0.250
0.750 0.750 0.750
0.000 0.000 0.500
0.000 0.500 0.000
0.500 0.000 0.000
0.500 0.500 0.500
```

## Properties
Energy relative to the elements, uncorrected = -0.75 eV/atom

---

## HgAuF2 (meta-GGA SCAN)

Data for HgAuF2 at its PBEsol-relaxed geometry.

```
HgAuF2
1.0
2.958 0.000 0.000
-1.479 2.562 0.000
0.000 0.000 24.424
Hg Au F
3 3 6
direct
0.000 0.000 0.000
0.333 0.667 0.667
0.667 0.333 0.333
0.000 0.000 0.500
0.333 0.667 0.167
0.667 0.333 0.833
0.000 0.000 0.419
0.000 0.000 0.581
0.333 0.667 0.085
0.333 0.667 0.248
0.667 0.333 0.752
0.667 0.333 0.915
```

## Properties
Energy relative to the elements, uncorrected = -0.87 eV/atom